# 1
Compound: GdYCu2
Source: the Open Quantum Materials Database
Functional: GGA-PBE
Structure: optimized geometry

Unit cell a=4.503 b=5.501 c=5.501 alpha=39.88 beta=90.00 gamma=90.00
Element x y z (fractional)
Cu 0.000 0.071 0.071
Cu 0.500 0.929 0.929
Gd 0.000 0.360 0.360
Y 0.500 0.640 0.640

Summary:
SG: Amm2
Total moment in μB per formula unit: 0.00
ΔE to the lowest computed polymorph in kJ/mol of atoms: 0.8
Energy of formation in eV per atom: -0.242

# 2
Compound: GdZn2Cu3
Source: the Open Quantum Materials Database
Functional: GGA-PBE
Structure: optimized geometry

Unit cell a=5.202 b=5.202 c=4.056 alpha=90.00 beta=90.00 gamma=120.00
Element x y z (fractional)
Cu 0.500 0.000 0.500
Cu 0.000 0.500 0.500
Cu 0.500 0.500 0.500
Gd 0.000 0.000 0.000
Zn 0.667 0.333 0.000
Zn 0.333 0.667 0.000

Summary:
SG: P6/mmm
Total moment in μB per formula unit: 0.00
Energy of formation in eV per atom: -0.236

# 3
Compound: GdZnCu
Source: the Open Quantum Materials Database
Functional: GGA-PBE
Structure: optimized geometry

Unit cell a=4.483 b=4.483 c=4.483 alpha=60.00 beta=60.00 gamma=60.00
Element x y z (fractional)
Cu 0.000 0.000 0.000
Gd 0.250 0.250 0.250
Zn 0.750 0.750 0.750

Summary:
SG: F-43m
Total moment in μB per formula unit: 0.15
ΔE to the lowest computed polymorph in kJ/mol of atoms: 0.0
Energy of formation in eV per atom: -0.131

# 4
Compound: GdZrCu
Source: the Open Quantum Materials Database
Functional: GGA-PBE
Structure: optimized geometry

Unit cell a=4.633 b=4.633 c=4.633 alpha=60.00 beta=60.00 gamma=60.00
Element x y z (fractional)
Cu 0.250 0.250 0.250
Gd 0.000 0.000 0.000
Zr 0.750 0.750 0.750

Summary:
SG: F-43m
Total moment in μB per formula unit: 0.00
ΔE to the lowest computed polymorph in kJ/mol of atoms: 68.9
Energy of formation in eV per atom: 0.987

# 5
Compound: GdZrCu
Source: the Open Quantum Materials Database
Functional: GGA-PBE
Structure: optimized geometry

Unit cell a=4.677 b=4.677 c=4.677 alpha=60.00 beta=60.00 gamma=60.00
Element x y z (fractional)
Cu 0.000 0.000 0.000
Gd 0.250 0.250 0.250
Zr 0.750 0.750 0.750

Summary:
SG: F-43m
Total moment in μB per formula unit: 1.06
ΔE to the lowest computed polymorph in kJ/mol of atoms: 0.0
Energy of formation in eV per atom: 0.273

# 6
Compound: CuGe64
Source: the Open Quantum Materials Database
Functional: GGA-PBE
Structure: optimized geometry

Unit cell a=11.522 b=11.522 c=11.522 alpha=90.00 beta=90.00 gamma=90.00
Element x y z (fractional)
Cu 0.000 0.000 0.000
Ge 0.252 0.000 0.000
Ge 0.748 0.000 0.000
Ge 0.500 0.250 0.000
Ge 0.000 0.252 0.000
Ge 0.250 0.500 0.000
Ge 0.750 0.500 0.000
Ge 0.000 0.748 0.000
Ge 0.500 0.750 0.000
Ge 0.624 0.376 0.124
Ge 0.376 0.624 0.124
Ge 0.375 0.126 0.126
Ge 0.126 0.375 0.126
Ge 0.874 0.625 0.126
Ge 0.625 0.874 0.126
Ge 0.872 0.128 0.128
Ge 0.128 0.872 0.128
Ge 0.500 0.000 0.250
Ge 0.000 0.500 0.250
Ge 0.500 0.500 0.250
Ge 0.251 0.251 0.251
Ge 0.749 0.749 0.251
Ge 0.000 0.000 0.252
Ge 0.747 0.253 0.253
Ge 0.253 0.747 0.253
Ge 0.126 0.126 0.375
Ge 0.874 0.874 0.375
Ge 0.375 0.375 0.375
Ge 0.625 0.625 0.375
Ge 0.124 0.624 0.376
Ge 0.376 0.876 0.376
Ge 0.624 0.124 0.376
Ge 0.876 0.376 0.376
Ge 0.250 0.000 0.500
Ge 0.750 0.000 0.500
Ge 0.000 0.250 0.500
Ge 0.500 0.250 0.500
Ge 0.250 0.500 0.500
Ge 0.750 0.500 0.500
Ge 0.500 0.750 0.500
Ge 0.000 0.750 0.500
Ge 0.376 0.124 0.624
Ge 0.124 0.376 0.624
Ge 0.876 0.624 0.624
Ge 0.624 0.876 0.624
Ge 0.625 0.375 0.625
Ge 0.375 0.625 0.625
Ge 0.874 0.126 0.625
Ge 0.126 0.874 0.625
Ge 0.253 0.253 0.747
Ge 0.747 0.747 0.747
Ge 0.000 0.000 0.748
Ge 0.749 0.251 0.749
Ge 0.251 0.749 0.749
Ge 0.500 0.500 0.750
Ge 0.500 0.000 0.750
Ge 0.000 0.500 0.750
Ge 0.128 0.128 0.872
Ge 0.872 0.872 0.872
Ge 0.625 0.126 0.874
Ge 0.874 0.375 0.874
Ge 0.126 0.625 0.874
Ge 0.375 0.874 0.874
Ge 0.376 0.376 0.876
Ge 0.624 0.624 0.876

Summary:
SG: P-43m
Total DFT energy (no corrections) in eV per cell: -297.98

# 7
Compound: Cu2Ge5
Source: the Open Quantum Materials Database
Functional: GGA-PBE
Structure: optimized geometry

Unit cell a=7.666 b=7.666 c=7.666 alpha=34.22 beta=34.22 gamma=34.22
Element x y z (fractional)
Cu 0.246 0.246 0.246
Cu 0.753 0.753 0.753
Ge 0.009 0.009 0.009
Ge 0.375 0.375 0.375
Ge 0.495 0.495 0.495
Ge 0.623 0.623 0.623
Ge 0.873 0.873 0.873

Summary:
SG: R3m
Total DFT energy (no corrections) in eV per cell: -28.07

# 8
Compound: Cu9Ge
Source: the Open Quantum Materials Database
Functional: GGA-PBE
Structure: optimized geometry

Unit cell a=2.580 b=2.580 c=48.810 alpha=90.00 beta=90.00 gamma=90.00
Element x y z (fractional)
Cu 0.500 0.000 0.188
Cu 0.000 0.500 0.226
Cu 0.500 0.000 0.263
Cu 0.000 0.500 0.300
Cu 0.500 0.000 0.336
Cu 0.000 0.500 0.373
Cu 0.500 0.000 0.409
Cu 0.000 0.500 0.446
Cu 0.500 0.000 0.482
Cu 0.000 0.500 0.518
Cu 0.500 0.000 0.554
Cu 0.000 0.500 0.591
Cu 0.500 0.000 0.627
Cu 0.000 0.500 0.664
Cu 0.500 0.000 0.700
Cu 0.000 0.500 0.737
Cu 0.500 0.000 0.774
Cu 0.000 0.500 0.812
Ge 0.000 0.500 0.146
Ge 0.500 0.000 0.854

Summary:
SG: P4/nmm
ΔE to the lowest computed polymorph in kJ/mol of atoms: 0.0

# 9
Compound: CuGe
Source: the Open Quantum Materials Database
Functional: GGA-PBE
Structure: optimized geometry

Unit cell a=3.616 b=3.616 c=3.616 alpha=60.00 beta=60.00 gamma=60.00
Element x y z (fractional)
Cu 0.000 0.000 0.000
Ge 0.500 0.500 0.500

Summary:
SG: Fm-3m
Total DFT energy (no corrections) in eV per cell: -7.76

# 10
Compound: Cu10Ge
Source: the Open Quantum Materials Database
Functional: GGA-PBE
Structure: optimized geometry

Unit cell a=4.419 b=4.419 c=30.568 alpha=90.27 beta=90.27 gamma=47.46
Element x y z (fractional)
Cu 0.852 0.852 0.242
Cu 0.550 0.550 0.271
Cu 0.251 0.251 0.299
Cu 0.951 0.951 0.325
Cu 0.650 0.650 0.353
Cu 0.351 0.351 0.379
Cu 0.051 0.051 0.406
Cu 0.751 0.751 0.433
Cu 0.450 0.450 0.460
Cu 0.150 0.150 0.486
Cu 0.850 0.850 0.514
Cu 0.550 0.550 0.540
Cu 0.249 0.249 0.567
Cu 0.949 0.949 0.594
Cu 0.649 0.649 0.621
Cu 0.350 0.350 0.647
Cu 0.049 0.049 0.675
Cu 0.749 0.749 0.701
Cu 0.450 0.450 0.729
Cu 0.148 0.148 0.758
Ge 0.151 0.151 0.218
Ge 0.849 0.849 0.782

Summary:
SG: C2/m
Total DFT energy (no corrections) in eV per cell: -82.09

# 11
Compound: Cu124Ge
Source: the Open Quantum Materials Database
Functional: GGA-PBE
Structure: optimized geometry

Unit cell a=12.810 b=12.810 c=12.810 alpha=60.00 beta=60.00 gamma=60.00
Element x y z (fractional)
Cu 0.202 0.000 0.000
Cu 0.400 0.000 0.000
Cu 0.600 0.000 0.000
Cu 0.798 0.000 0.000
Cu 0.400 0.200 0.000
Cu 0.200 0.200 0.000
Cu 0.600 0.200 0.000
Cu 0.798 0.202 0.000
Cu 0.000 0.202 0.000
Cu 0.200 0.400 0.000
Cu 0.400 0.400 0.000
Cu 0.600 0.400 0.000
Cu 0.000 0.400 0.000
Cu 0.800 0.400 0.000
Cu 0.200 0.600 0.000
Cu 0.000 0.600 0.000
Cu 0.400 0.600 0.000
Cu 0.600 0.600 0.000
Cu 0.800 0.600 0.000
Cu 0.000 0.798 0.000
Cu 0.202 0.798 0.000
Cu 0.400 0.800 0.000
Cu 0.800 0.800 0.000
Cu 0.600 0.800 0.000
Cu 0.600 0.600 0.200
Cu 0.600 0.400 0.200
Cu 0.400 0.600 0.200
Cu 0.800 0.600 0.200
Cu 0.600 0.800 0.200
Cu 0.400 0.800 0.200
Cu 0.800 0.400 0.200
Cu 0.400 0.400 0.200
Cu 0.400 0.000 0.200
Cu 0.000 0.400 0.200
Cu 0.400 0.200 0.200
Cu 0.200 0.400 0.200
Cu 0.200 0.200 0.200
Cu 0.200 0.000 0.200
Cu 0.600 0.000 0.200
Cu 0.000 0.200 0.200
Cu 0.600 0.200 0.200
Cu 0.000 0.600 0.200
Cu 0.200 0.600 0.200
Cu 0.799 0.799 0.201
Cu 0.201 0.799 0.201
Cu 0.799 0.201 0.201
Cu 0.798 0.000 0.202
Cu 0.000 0.798 0.202
Cu 0.000 0.000 0.202
Cu 0.200 0.200 0.400
Cu 0.200 0.000 0.400
Cu 0.400 0.000 0.400
Cu 0.000 0.200 0.400
Cu 0.000 0.400 0.400
Cu 0.400 0.200 0.400
Cu 0.200 0.400 0.400
Cu 0.800 0.400 0.400
Cu 0.400 0.800 0.400
Cu 0.400 0.400 0.400
Cu 0.600 0.600 0.400
Cu 0.600 0.400 0.400
Cu 0.400 0.600 0.400
Cu 0.800 0.200 0.400
Cu 0.200 0.800 0.400
Cu 0.800 0.600 0.400
Cu 0.600 0.800 0.400
Cu 0.600 0.200 0.400
Cu 0.200 0.600 0.400
Cu 0.600 0.000 0.400
Cu 0.000 0.600 0.400
Cu 0.000 0.000 0.400
Cu 0.800 0.800 0.400
Cu 0.800 0.000 0.400
Cu 0.000 0.800 0.400
Cu 0.200 0.000 0.600
Cu 0.000 0.200 0.600
Cu 0.200 0.200 0.600
Cu 0.000 0.000 0.600
Cu 0.400 0.000 0.600
Cu 0.000 0.400 0.600
Cu 0.800 0.400 0.600
Cu 0.400 0.800 0.600
Cu 0.400 0.200 0.600
Cu 0.200 0.400 0.600
Cu 0.200 0.800 0.600
Cu 0.800 0.200 0.600
Cu 0.600 0.400 0.600
Cu 0.400 0.600 0.600
Cu 0.400 0.400 0.600
Cu 0.600 0.600 0.600
Cu 0.600 0.200 0.600
Cu 0.200 0.600 0.600
Cu 0.600 0.000 0.600
Cu 0.000 0.800 0.600
Cu 0.800 0.000 0.600
Cu 0.000 0.600 0.600
Cu 0.800 0.600 0.600
Cu 0.600 0.800 0.600
Cu 0.800 0.800 0.600
Cu 0.000 0.000 0.798
Cu 0.202 0.000 0.798
Cu 0.000 0.202 0.798
Cu 0.799 0.201 0.799
Cu 0.201 0.799 0.799
Cu 0.201 0.201 0.799
Cu 0.400 0.000 0.800
Cu 0.800 0.000 0.800
Cu 0.800 0.400 0.800
Cu 0.000 0.400 0.800
Cu 0.000 0.800 0.800
Cu 0.400 0.800 0.800
Cu 0.800 0.800 0.800
Cu 0.800 0.600 0.800
Cu 0.600 0.800 0.800
Cu 0.600 0.000 0.800
Cu 0.000 0.600 0.800
Cu 0.600 0.600 0.800
Cu 0.600 0.200 0.800
Cu 0.200 0.600 0.800
Cu 0.400 0.200 0.800
Cu 0.200 0.400 0.800
Cu 0.600 0.400 0.800
Cu 0.400 0.600 0.800
Cu 0.400 0.400 0.800
Ge 0.000 0.000 0.000

Summary:
SG: Fm-3m
Total DFT energy (no corrections) in eV per cell: -465.84

# 12
Compound: CuGe
Source: the Open Quantum Materials Database
Functional: GGA-PBE
Structure: optimized geometry

Unit cell a=2.963 b=2.963 c=3.999 alpha=90.00 beta=90.00 gamma=120.00
Element x y z (fractional)
Cu 0.667 0.333 0.750
Ge 0.333 0.667 0.250

Summary:
SG: P-6m2
Total DFT energy (no corrections) in eV per cell: -7.94

# 13
Compound: CuGe64
Source: the Open Quantum Materials Database
Functional: GGA-PBE
Structure: optimized geometry

Unit cell a=11.547 b=11.547 c=11.547 alpha=89.99 beta=89.99 gamma=89.99
Element x y z (fractional)
Cu 0.000 0.000 0.000
Ge 0.812 0.562 0.062
Ge 0.562 0.812 0.062
Ge 0.562 0.313 0.063
Ge 0.313 0.562 0.063
Ge 0.314 0.063 0.063
Ge 0.063 0.314 0.063
Ge 0.065 0.805 0.065
Ge 0.805 0.065 0.065
Ge 0.685 0.685 0.186
Ge 0.186 0.186 0.186
Ge 0.437 0.437 0.188
Ge 0.938 0.438 0.188
Ge 0.438 0.938 0.188
Ge 0.686 0.192 0.192
Ge 0.192 0.686 0.192
Ge 0.935 0.935 0.195
Ge 0.312 0.312 0.312
Ge 0.562 0.562 0.313
Ge 0.562 0.063 0.313
Ge 0.063 0.562 0.313
Ge 0.063 0.063 0.314
Ge 0.808 0.808 0.314
Ge 0.814 0.315 0.315
Ge 0.315 0.814 0.315
Ge 0.437 0.188 0.437
Ge 0.188 0.437 0.437
Ge 0.937 0.687 0.438
Ge 0.687 0.937 0.438
Ge 0.687 0.438 0.438
Ge 0.438 0.687 0.438
Ge 0.938 0.188 0.438
Ge 0.188 0.938 0.438
Ge 0.812 0.062 0.562
Ge 0.062 0.812 0.562
Ge 0.562 0.313 0.562
Ge 0.313 0.562 0.562
Ge 0.313 0.063 0.562
Ge 0.063 0.313 0.562
Ge 0.812 0.563 0.563
Ge 0.563 0.812 0.563
Ge 0.685 0.186 0.685
Ge 0.186 0.685 0.685
Ge 0.192 0.192 0.686
Ge 0.937 0.937 0.686
Ge 0.937 0.438 0.687
Ge 0.438 0.937 0.687
Ge 0.438 0.438 0.687
Ge 0.688 0.688 0.688
Ge 0.065 0.065 0.805
Ge 0.808 0.314 0.808
Ge 0.314 0.808 0.808
Ge 0.562 0.062 0.812
Ge 0.062 0.562 0.812
Ge 0.563 0.563 0.812
Ge 0.814 0.814 0.814
Ge 0.315 0.315 0.814
Ge 0.935 0.195 0.935
Ge 0.195 0.935 0.935
Ge 0.937 0.686 0.937
Ge 0.686 0.937 0.937
Ge 0.687 0.438 0.937
Ge 0.438 0.687 0.937
Ge 0.438 0.188 0.938
Ge 0.188 0.438 0.938

Summary:
SG: R-3m
Total DFT energy (no corrections) in eV per cell: -298.00